A relaxed SmNbGa2 crystal. Source: the Alexandria database, functional PBE.

Calculated values
DFT formation energy ... -0.08 eV per atom
Raw total energy ... -63.453 eV for the cell shown
Magnetic moment ... 0.00 μB/cell
Distance to the lowest polymorph of the same formula ... 0.258 eV/atom

Lattice parameters (Å, degrees): 3.1475 3.1475 28.8519 90.00 90.00 120.00
Space group R-3m (No. 166, hexagonal axes)
One atom of each set of equivalent atoms:
Sm (0.0000, 0.0000, 0.0000) [3 per cell]
Nb (0.0000, 0.0000, 0.5000) [3 per cell]
Ga (0.0000, 0.0000, 0.2425) [6 per cell]

---

A relaxed NbGaSn3 crystal. Source: the Alexandria database, functional PBE.

Calculated values
DFT formation energy ... 0.34 eV per atom
Raw total energy ... -23.382 eV for the cell shown
Magnetic moment ... 0.00 μB/cell
Distance to the lowest polymorph of the same formula ... 0.000 eV/atom

Lattice parameters (Å, degrees): 5.397 5.397 5.397 90.00 90.00 90.00
Space group Pm-3m (No. 221)
One atom of each set of equivalent atoms:
Nb (0.000, 0.000, 0.000) [1 per cell]
Ga (0.500, 0.500, 0.500) [1 per cell]
Sn (0.000, 0.000, 0.500) [3 per cell]

---

A relaxed Nb2GaSn2 crystal. Source: the Alexandria database, functional PBE.

Calculated values
DFT formation energy ... 0.17 eV per atom
Raw total energy ... -60.667 eV for the cell shown
Magnetic moment ... 0.00 μB/cell
Distance to the lowest polymorph of the same formula ... 0.244 eV/atom

Lattice parameters (Å, degrees): 8.664 8.664 2.959 90.00 90.00 90.00
Space group P4/mbm (No. 127)
One atom of each set of equivalent atoms:
Nb (0.112, 0.388, 0.000) [4 per cell]
Ga (0.000, 0.000, 0.500) [2 per cell]
Sn (0.178, 0.678, 0.500) [4 per cell]

---

A relaxed Nb6Ga5Sn crystal. Source: the Alexandria database, functional PBE.

Calculated values
DFT formation energy ... 0.04 eV per atom
Raw total energy ... -158.153 eV for the cell shown
Magnetic moment ... 0.00 μB/cell

Lattice parameters (Å, degrees): 7.346 10.235 6.124 90.00 105.14 90.00
Space group C2/m (No. 12)
One atom of each set of equivalent atoms:
Nb (0.188, 0.000, 0.201) [4 per cell]
Nb (0.207, 0.186, 0.709) [8 per cell]
Ga (0.000, 0.000, 0.500) [2 per cell]
Ga (0.000, 0.206, 0.000) [4 per cell]
Ga (0.000, 0.380, 0.500) [4 per cell]
Sn (0.000, 0.500, 0.000) [2 per cell]

---

A relaxed Nb3GaSn crystal. Source: the Alexandria database, functional PBE.

Calculated values
DFT formation energy ... -0.11 eV per atom
Raw total energy ... -302.378 eV for the cell shown
Magnetic moment ... 0.00 μB/cell
Distance to the lowest polymorph of the same formula ... 0.000 eV/atom

Lattice parameters (Å, degrees): 9.919 12.477 6.561 90.00 112.92 90.00
Space group C2/c (No. 15)
One atom of each set of equivalent atoms:
Nb (0.128, 0.198, 0.009) [8 per cell]
Nb (0.159, 0.466, 0.031) [8 per cell]
Nb (0.179, 0.153, 0.541) [8 per cell]
Ga (0.110, 0.341, 0.686) [8 per cell]
Sn (0.000, 0.009, 0.750) [4 per cell]
Sn (0.000, 0.340, 0.250) [4 per cell]

---

A relaxed Nb2GaSn2 crystal. Source: the Alexandria database, functional PBE.

Calculated values
DFT formation energy ... 0.31 eV per atom
Raw total energy ... -59.278 eV for the cell shown
Magnetic moment ... 0.00 μB/cell
Distance to the lowest polymorph of the same formula ... 0.383 eV/atom

Lattice parameters (Å, degrees): 3.934 3.934 14.075 90.00 90.00 90.00
Space group I4/mmm (No. 139)
One atom of each set of equivalent atoms:
Nb (0.000, 0.000, 0.092) [4 per cell]
Ga (0.000, 0.000, 0.500) [2 per cell]
Sn (0.000, 0.500, 0.250) [4 per cell]

---

A relaxed Nb3GaSn crystal. Source: the Alexandria database, functional PBE.

Calculated values
DFT formation energy ... 0.80 eV per atom
Raw total energy ... -33.257 eV for the cell shown
Magnetic moment ... 0.00 μB/cell
Distance to the lowest polymorph of the same formula ... 0.908 eV/atom

Lattice parameters (Å, degrees): 4.768 4.768 4.768 90.00 90.00 90.00
Space group Pm-3m (No. 221)
One atom of each set of equivalent atoms:
Nb (0.000, 0.000, 0.500) [3 per cell]
Ga (0.000, 0.000, 0.000) [1 per cell]
Sn (0.500, 0.500, 0.500) [1 per cell]

---

A relaxed NbGaSn3 crystal. Source: the Alexandria database, functional PBE.

Calculated values
DFT formation energy ... 0.98 eV per atom
Raw total energy ... -20.185 eV for the cell shown
Magnetic moment ... 3.10 μB/cell
Distance to the lowest polymorph of the same formula ... 0.639 eV/atom

Lattice parameters (Å, degrees): 5.218 5.218 5.218 90.00 90.00 90.00
Space group Pm-3m (No. 221)
One atom of each set of equivalent atoms:
Nb (0.000, 0.000, 0.000) [1 per cell]
Ga (0.500, 0.500, 0.500) [1 per cell]
Sn (0.000, 0.500, 0.500) [3 per cell]

---

A relaxed Nb8Ga2Sn crystal. Source: the Alexandria database, functional PBE.

Calculated values
DFT formation energy ... 0.05 eV per atom
Raw total energy ... -180.042 eV for the cell shown
Magnetic moment ... 0.00 μB/cell

Lattice parameters (Å, degrees): 7.615 11.930 5.105 90.00 116.17 90.00
Space group C2/m (No. 12)
One atom of each set of equivalent atoms:
Nb (0.000, 0.240, 0.000) [4 per cell]
Nb (0.101, 0.500, 0.818) [4 per cell]
Nb (0.207, 0.115, 0.613) [8 per cell]
Ga (0.000, 0.308, 0.500) [4 per cell]
Sn (0.000, 0.000, 0.000) [2 per cell]

---

A relaxed Nb2GaSn2 crystal. Source: the Alexandria database, functional PBE.

Calculated values
DFT formation energy ... 0.30 eV per atom
Raw total energy ... -59.335 eV for the cell shown
Magnetic moment ... 0.00 μB/cell
Distance to the lowest polymorph of the same formula ... 0.377 eV/atom

Lattice parameters (Å, degrees): 3.960 3.960 14.457 90.00 90.00 90.00
Space group I4/mmm (No. 139)
One atom of each set of equivalent atoms:
Nb (0.000, 0.500, 0.250) [4 per cell]
Ga (0.000, 0.000, 0.000) [2 per cell]
Sn (0.000, 0.000, 0.400) [4 per cell]

---

A relaxed Nb5Ga2Sn2 crystal. Source: the Alexandria database, functional PBE.

Calculated values
DFT formation energy ... -0.18 eV per atom
Raw total energy ... -264.221 eV for the cell shown
Magnetic moment ... 0.00 μB/cell

Lattice parameters (Å, degrees): 13.983 7.061 6.939 90.00 90.00 90.00
Space group Cmce (No. 64)
One atom of each set of equivalent atoms:
Nb (0.000, 0.000, 0.000) [4 per cell]
Nb (0.123, 0.169, 0.327) [16 per cell]
Ga (0.000, 0.127, 0.626) [8 per cell]
Sn (0.214, 0.000, 0.000) [8 per cell]

---

A relaxed Nb2GaSn2 crystal. Source: the Alexandria database, functional PBE.

Calculated values
DFT formation energy ... -0.08 eV per atom
Raw total energy ... -63.110 eV for the cell shown
Magnetic moment ... 0.00 μB/cell
Distance to the lowest polymorph of the same formula ... 0.000 eV/atom

Lattice parameters (Å, degrees): 7.107 7.107 4.067 90.00 90.00 90.00
Space group P4/mbm (No. 127)
One atom of each set of equivalent atoms:
Nb (0.153, 0.347, 0.000) [4 per cell]
Ga (0.000, 0.000, 0.000) [2 per cell]
Sn (0.152, 0.652, 0.500) [4 per cell]

---

Question: DFT formation energy of number 8 (NbGaSn3)?
Answer: 0.98 eV per atom

---

What did the sixth record say?
A relaxed Nb2GaSn2 crystal. Source: the Alexandria database, functional PBE.

Calculated values
DFT formation energy ... 0.31 eV per atom
Raw total energy ... -59.278 eV for the cell shown
Magnetic moment ... 0.00 μB/cell
Distance to the lowest polymorph of the same formula ... 0.383 eV/atom

Lattice parameters (Å, degrees): 3.934 3.934 14.075 90.00 90.00 90.00
Space group I4/mmm (No. 139)
One atom of each set of equivalent atoms:
Nb (0.000, 0.000, 0.092) [4 per cell]
Ga (0.000, 0.000, 0.500) [2 per cell]
Sn (0.000, 0.500, 0.250) [4 per cell]